DFT (PBE) results for crystalline CaZn2Sb at its relaxed geometry.

Cell lengths 3.6111, 3.6111, 6.9474 Å; angles 90.00, 90.00, 90.00 degrees
Sites, in units of the cell vectors:
Ca: 0.0000 0.0000 0.0000
Zn: 0.0000 0.0000 0.5508
Zn: 0.5000 0.5000 0.7145
Sb: 0.5000 0.5000 0.3043

Output
Spin magnetization   0.00 μB per formula unit
E_form (uncorrected)   -0.2206 eV/atom



DFT (PBE) results for crystalline CaZn2Sb2 at its relaxed geometry.

Cell lengths 7.9758, 7.9758, 3.6625 Å; angles 90.00, 90.00, 90.00 degrees
Sites, in units of the cell vectors:
Ca: 0.0000 0.0000 0.0000
Ca: 0.5000 0.5000 0.0000
Zn: 0.1145 0.3855 0.0000
Zn: 0.3855 0.8855 0.0000
Zn: 0.6145 0.1145 0.0000
Zn: 0.8855 0.6145 0.0000
Sb: 0.1825 0.6825 0.5000
Sb: 0.3175 0.1825 0.5000
Sb: 0.6825 0.8175 0.5000
Sb: 0.8175 0.3175 0.5000

Output
Spin magnetization   0.00 μB per formula unit
E_form (uncorrected)   -0.2482 eV/atom